First-principles (GGA-PBE) data for a relaxed AlCuRe crystal, as listed in the Alexandria database.

The structure belongs to space group F-43m (No. 216); the cell edges are 5.9258, 5.9258 and 5.9258 Å and the angles 90.00°, 90.00° and 90.00°. The inequivalent atoms are Al at (0.0000, 0.0000, 0.0000), Cu at (0.0000, 0.0000, 0.5000) and Re at (0.2500, 0.2500, 0.2500).

The uncorrected energy is -71.6 eV per cell. The formation energy from the elements comes out at 795 meV per atom. For the energy above the lowest structure with this stoichiometry, the calculation gives 912.1 meV per atom.

First-principles (GGA-PBE) data for a relaxed BiPd3Pb6 crystal, as listed in the Alexandria database.

The structure belongs to space group Cmc2_1 (No. 36); the cell edges are 10.9298, 14.2069 and 6.8076 Å and the angles 90.00°, 90.00° and 90.00°. The inequivalent atoms are Bi at (0.0000, 0.2023, 0.0000), Pd at (0.0000, 0.4015, 0.1792), Pd at (0.1489, 0.1167, 0.3078), Pb at (0.0000, 0.0330, 0.6359), Pb at (0.0000, 0.2736, 0.4979), Pb at (0.1845, 0.4777, 0.5064) and Pb at (0.2426, 0.3022, 0.1787).

The uncorrected energy is -171.4 eV per cell. The formation energy from the elements comes out at -114 meV per atom.